Compound: KSiAg2
Source: Alexandria
Functional: GGA-PBE
Structure: relaxed

extended XYZ file:
```
4
Lattice="-1.494 2.909 5.397 1.494 -2.909 5.397 1.494 2.909 -5.397" Properties=species:S:1:pos:R:3 pbc="T T T"
K 0.000 0.000 0.000
Si 0.000 0.000 5.397
Ag 1.494 0.000 3.272
Ag 0.000 2.909 2.125
```

**Uncorrected energy**: -10.861 eV for the cell shown
**E_form (uncorrected)**: 131 kJ/mol of formula units
**Size of the total moment**: 0.0 μB per formula unit


Compound: KSiAg2
Source: Alexandria
Functional: GGA-PBE
Structure: relaxed

extended XYZ file:
```
4
Lattice="2.992 0.000 0.000 0.000 3.872 0.000 0.000 0.000 7.982" Properties=species:S:1:pos:R:3 pbc="T T T"
K 0.000 0.000 0.000
Si 0.000 0.000 3.991
Ag 1.496 1.936 2.567
Ag 1.496 1.936 5.414
```

**Uncorrected energy**: -11.020 eV for the cell shown
**E_form (uncorrected)**: 116 kJ/mol of formula units
**Size of the total moment**: 0.0 μB per formula unit